(1)
Compound: Na3Ce3AgO8
Source: Alexandria via LeMat-Bulk
Functional: GGA-PBE
Structure: relaxed

* total energy: -6.656 eV per atom
* raw formation energy: -35.56 eV per formula unit

a = 7.0545 Å, b = 7.0545 Å, c = 16.5361 Å
α = 90.00°, β = 90.00°, γ = 120.00°
Closest atoms and distances in Å follow each position.
Space group R-3m (No. 166, hexagonal axes)
One atom of each set of equivalent atoms:
Na 0.0000 0.5000 0.0000 (multiplicity 9)  6 O 2.55-2.70
Ce 0.0000 0.5000 0.5000 (multiplicity 9)  6 O 2.24-2.38
Ag 0.0000 0.0000 0.5000 (multiplicity 3)  6 O 2.48
O 0.0000 0.0000 0.2410 (multiplicity 6)  3 Ce 2.38, 3 Na 2.55
O 0.0302 0.5151 0.7664 (multiplicity 18)  2 Ce 2.24, 1 Ag 2.48

(2)
Compound: CsSr2AsBr8
Source: Alexandria via LeMat-Bulk
Functional: GGA-PBE
Structure: relaxed

* total energy: -3.277 eV per atom
* raw formation energy: -17.08 eV per formula unit

a = 6.9262 Å, b = 6.9852 Å, c = 9.6541 Å
α = 89.92°, β = 89.84°, γ = 89.73°
Closest atoms and distances in Å follow each position.
Space group P-1 (No. 2)
One atom of each set of equivalent atoms:
Cs 0.0000 0.0000 0.0000 (multiplicity 1)  6 Br 3.42-3.52
Sr 0.4995 0.5000 0.2549 (multiplicity 2)  6 Br 3.04-3.25
As 0.0000 0.0000 0.5000 (multiplicity 1)  6 Br 2.67-2.77
Br 0.2302 0.8498 0.6934 (multiplicity 2)  1 As 2.67
Br 0.2321 0.8520 0.3060 (multiplicity 2)  1 As 2.67
Br 0.2342 0.3212 0.5006 (multiplicity 2)  1 As 2.77
Br 0.2582 0.4159 0.0004 (multiplicity 2)  2 Sr 3.04

(3)
Compound: Ce2GeBi
Source: Alexandria via LeMat-Bulk
Functional: GGA-PBE
Structure: relaxed

* calculated formation energy: -58 kJ per mole of atoms
* total energy: -5.693 eV per atom

a = 3.5739 Å, b = 3.5739 Å, c = 8.4360 Å
α = 90.00°, β = 90.00°, γ = 90.00°
Closest atoms and distances in Å follow each position.
Space group P4/mmm (No. 123)
One atom of each set of equivalent atoms:
Ce 0.0000 0.0000 0.2179 (multiplicity 2)  4 Ge 3.13, 4 Bi 3.47
Ge 0.5000 0.5000 0.0000 (multiplicity 1)  8 Ce 3.13
Bi 0.5000 0.5000 0.5000 (multiplicity 1)  8 Ce 3.47, 4 Bi 3.57

(4)
Compound: Tm3InPb3
Source: Alexandria via LeMat-Bulk
Functional: GGA-PBE
Structure: relaxed

* calculated formation energy: -24 kJ per mole of atoms
* total energy: -4.144 eV per atom

a = 8.8670 Å, b = 8.8670 Å, c = 5.7643 Å
α = 90.00°, β = 90.00°, γ = 120.00°
Closest atoms and distances in Å follow each position.
Space group P6_3/m (No. 176)
One atom of each set of equivalent atoms:
Tm 0.0933 0.6399 0.2500 (multiplicity 6)  5 Pb 3.17-3.39, 3 In 3.38-3.52, 2 Tm 3.50
In 0.3333 0.6667 0.7500 (multiplicity 2)  3 Pb 3.17, 9 Tm 3.38-3.52
Pb 0.0572 0.7950 0.7500 (multiplicity 6)  5 Tm 3.17-3.39, 1 In 3.17

> Among the records above, which one has the lowest total energy?

Na3Ce3AgO8

Copy entry 1 word for word.
Compound: Na3Ce3AgO8
Source: Alexandria via LeMat-Bulk
Functional: GGA-PBE
Structure: relaxed

* total energy: -6.656 eV per atom
* raw formation energy: -35.56 eV per formula unit

a = 7.0545 Å, b = 7.0545 Å, c = 16.5361 Å
α = 90.00°, β = 90.00°, γ = 120.00°
Closest atoms and distances in Å follow each position.
Space group R-3m (No. 166, hexagonal axes)
One atom of each set of equivalent atoms:
Na 0.0000 0.5000 0.0000 (multiplicity 9)  6 O 2.55-2.70
Ce 0.0000 0.5000 0.5000 (multiplicity 9)  6 O 2.24-2.38
Ag 0.0000 0.0000 0.5000 (multiplicity 3)  6 O 2.48
O 0.0000 0.0000 0.2410 (multiplicity 6)  3 Ce 2.38, 3 Na 2.55
O 0.0302 0.5151 0.7664 (multiplicity 18)  2 Ce 2.24, 1 Ag 2.48